--- w ---
An optimized crystal structure of SrTaNO, computed with PBE.

## Properties
**Symmetry**: No. 129
**Volume**: 157.48 Å³ per cell

Unit cell a=4.111 b=4.111 c=9.316 alpha=90.00 beta=90.00 gamma=90.00
Fractional positions:
Sr 0.250 0.250 0.121
Sr 0.750 0.750 0.879
Ta 0.250 0.750 0.500
Ta 0.750 0.250 0.500
N 0.250 0.250 0.549
N 0.750 0.750 0.451
O 0.250 0.750 0.000
O 0.750 0.250 0.000



--- x ---
An optimized crystal structure of SrTaNO, computed with PBE.

## Properties
**Symmetry**: No. 29
**Volume**: 271.42 Å³ per cell

Unit cell a=6.332 b=8.060 c=5.318 alpha=90.00 beta=90.00 gamma=90.00
Fractional positions:
Sr 0.067 0.148 0.000
Sr 0.433 0.148 0.500
Sr 0.567 0.852 0.000
Sr 0.933 0.852 0.500
Ta 0.127 0.642 0.002
Ta 0.373 0.642 0.502
Ta 0.627 0.358 0.002
Ta 0.873 0.358 0.502
N 0.030 0.161 0.497
N 0.470 0.161 0.997
N 0.530 0.839 0.497
N 0.970 0.839 0.997
O 0.074 0.541 0.603
O 0.426 0.541 0.103
O 0.574 0.459 0.603
O 0.926 0.459 0.103



--- y ---
An optimized crystal structure of SrTaNO, computed with PBE.

## Properties
**Symmetry**: No. 26
**Volume**: 134.24 Å³ per cell

Unit cell a=3.765 b=5.987 c=5.955 alpha=90.00 beta=90.00 gamma=90.00
Fractional positions:
Sr 0.000 0.151 0.000
Sr 0.000 0.849 0.500
Ta 0.500 0.397 0.439
Ta 0.500 0.603 0.939
N 0.000 0.286 0.423
N 0.000 0.714 0.923
O 0.500 0.305 0.776
O 0.500 0.695 0.276



y comes first in stability; the runner-up is 8.1 kJ/mol of atoms higher.



--- w ---
An optimized crystal structure of SrTaNO, computed with PBE.

## Properties
**Symmetry**: No. 29
**Volume**: 261.16 Å³ per cell

Unit cell a=6.553 b=7.669 c=5.197 alpha=90.00 beta=90.00 gamma=90.00
Fractional positions:
Sr 0.064 0.140 0.000
Sr 0.436 0.140 0.500
Sr 0.564 0.860 0.000
Sr 0.936 0.860 0.500
Ta 0.117 0.631 0.002
Ta 0.383 0.631 0.502
Ta 0.617 0.369 0.002
Ta 0.883 0.369 0.502
N 0.095 0.549 0.616
N 0.405 0.549 0.116
N 0.595 0.451 0.616
N 0.905 0.451 0.116
O 0.066 0.164 0.490
O 0.434 0.164 0.990
O 0.566 0.836 0.490
O 0.934 0.836 0.990



--- x ---
An optimized crystal structure of SrTaNO, computed with PBE.

## Properties
**Symmetry**: No. 129
**Volume**: 128.13 Å³ per cell

Unit cell a=4.480 b=4.480 c=6.384 alpha=90.00 beta=90.00 gamma=90.00
Fractional positions:
Sr 0.250 0.750 0.000
Sr 0.750 0.250 0.000
Ta 0.250 0.250 0.455
Ta 0.750 0.750 0.545
N 0.250 0.250 0.168
N 0.750 0.750 0.832
O 0.250 0.750 0.500
O 0.750 0.250 0.500



--- y ---
An optimized crystal structure of SrTaNO, computed with PBE.

## Properties
**Symmetry**: No. 51
**Volume**: 129.56 Å³ per cell

Unit cell a=5.749 b=3.993 c=5.643 alpha=90.00 beta=90.00 gamma=90.00
Fractional positions:
Sr 0.250 0.000 0.245
Sr 0.750 0.000 0.755
Ta 0.250 0.500 0.761
Ta 0.750 0.500 0.239
N 0.000 0.500 0.000
N 0.500 0.500 0.000
O 0.250 0.000 0.706
O 0.750 0.000 0.294



y comes first in stability; the runner-up is 7.8 kJ/mol of atoms higher.



--- w ---
An optimized crystal structure of SrTbNO, computed with PBE.

## Properties
**Symmetry**: No. 29
**Volume**: 299.41 Å³ per cell

Unit cell a=7.133 b=8.334 c=5.036 alpha=90.00 beta=90.00 gamma=90.00
Fractional positions:
Sr 0.084 0.131 0.000
Sr 0.416 0.131 0.500
Sr 0.584 0.869 0.000
Sr 0.916 0.869 0.500
Tb 0.086 0.618 0.997
Tb 0.414 0.618 0.497
Tb 0.586 0.382 0.997
Tb 0.914 0.382 0.497
N 0.093 0.611 0.510
N 0.407 0.611 0.010
N 0.593 0.389 0.510
N 0.907 0.389 0.010
O 0.067 0.140 0.502
O 0.433 0.140 0.002
O 0.567 0.860 0.502
O 0.933 0.860 0.002



--- x ---
An optimized crystal structure of SrTbNO, computed with PBE.

## Properties
**Symmetry**: No. 26
**Volume**: 158.99 Å³ per cell

Unit cell a=3.876 b=7.038 c=5.828 alpha=90.00 beta=90.00 gamma=90.00
Fractional positions:
Sr 0.000 0.162 0.000
Sr 0.000 0.838 0.500
Tb 0.500 0.340 0.515
Tb 0.500 0.660 0.015
N 0.000 0.191 0.436
N 0.000 0.809 0.936
O 0.500 0.359 0.894
O 0.500 0.641 0.394



w comes first in stability; the runner-up is 7.7 kJ/mol of atoms higher.



--- w ---
An optimized crystal structure of SrTbNO, computed with PBE.

## Properties
**Symmetry**: No. 129
**Volume**: 127.39 Å³ per cell

Unit cell a=4.987 b=4.987 c=5.122 alpha=90.00 beta=90.00 gamma=90.00
Fractional positions:
Sr 0.250 0.250 0.000
Sr 0.750 0.750 0.000
Tb 0.250 0.750 0.500
Tb 0.750 0.250 0.500
N 0.250 0.250 0.499
N 0.750 0.750 0.501
O 0.250 0.750 0.000
O 0.750 0.250 0.000



--- x ---
An optimized crystal structure of SrTbNO, computed with PBE.

## Properties
**Symmetry**: No. 26
**Volume**: 150.78 Å³ per cell

Unit cell a=4.151 b=7.175 c=5.062 alpha=90.00 beta=90.00 gamma=90.00
Fractional positions:
Sr 0.000 0.168 0.000
Sr 0.000 0.832 0.500
Tb 0.500 0.342 0.506
Tb 0.500 0.658 0.006
N 0.500 0.351 0.980
N 0.500 0.649 0.480
O 0.000 0.194 0.494
O 0.000 0.806 0.994



w comes first in stability; the runner-up is 2.5 kJ/mol of atoms higher.



--- w ---
An optimized crystal structure of SrTbNO, computed with PBE.

## Properties
**Symmetry**: No. 129
**Volume**: 144.26 Å³ per cell

Unit cell a=4.159 b=4.159 c=8.341 alpha=90.00 beta=90.00 gamma=90.00
Fractional positions:
Sr 0.250 0.750 0.000
Sr 0.750 0.250 0.000
Tb 0.250 0.250 0.389
Tb 0.750 0.750 0.611
N 0.250 0.250 0.832
N 0.750 0.750 0.168
O 0.250 0.750 0.500
O 0.750 0.250 0.500



--- x ---
An optimized crystal structure of SrTbNO, computed with PBE.

## Properties
**Symmetry**: No. 29
**Volume**: 318.51 Å³ per cell

Unit cell a=6.872 b=8.156 c=5.683 alpha=90.00 beta=90.00 gamma=90.00
Fractional positions:
Sr 0.084 0.125 0.000
Sr 0.416 0.125 0.500
Sr 0.584 0.875 0.000
Sr 0.916 0.875 0.500
Tb 0.086 0.616 0.977
Tb 0.414 0.616 0.477
Tb 0.586 0.384 0.977
Tb 0.914 0.384 0.477
N 0.053 0.159 0.547
N 0.447 0.159 0.047
N 0.553 0.841 0.547
N 0.947 0.841 0.047
O 0.099 0.600 0.585
O 0.401 0.600 0.085
O 0.599 0.400 0.585
O 0.901 0.400 0.085



x comes first in stability; the runner-up is 56.1 kJ/mol of atoms higher.



--- w ---
An optimized crystal structure of SrZnNO, computed with PBE.

## Properties
**Symmetry**: No. 57
**Volume**: 220.68 Å³ per cell

Unit cell a=7.730 b=5.351 c=5.335 alpha=90.00 beta=90.00 gamma=90.00
Fractional positions:
Sr 0.172 0.001 0.250
Sr 0.172 0.499 0.750
Sr 0.828 0.501 0.250
Sr 0.828 0.999 0.750
Zn 0.401 0.502 0.250
Zn 0.401 0.998 0.750
Zn 0.599 0.002 0.250
Zn 0.599 0.498 0.750
N 0.498 0.250 0.000
N 0.498 0.250 0.500
N 0.502 0.750 0.000
N 0.502 0.750 0.500
O 0.141 0.503 0.250
O 0.141 0.997 0.750
O 0.859 0.003 0.250
O 0.859 0.497 0.750



--- x ---
An optimized crystal structure of SrZnNO, computed with PBE.

## Properties
**Symmetry**: No. 26
**Volume**: 119.11 Å³ per cell

Unit cell a=3.565 b=6.260 c=5.338 alpha=90.00 beta=90.00 gamma=90.00
Fractional positions:
Sr 0.000 0.239 0.000
Sr 0.000 0.761 0.500
Zn 0.500 0.231 0.497
Zn 0.500 0.769 0.997
N 0.500 0.003 0.750
N 0.500 0.997 0.250
O 0.000 0.372 0.481
O 0.000 0.628 0.981



--- y ---
An optimized crystal structure of SrZnNO, computed with PBE.

## Properties
**Symmetry**: No. 26
**Volume**: 119.77 Å³ per cell

Unit cell a=3.590 b=5.769 c=5.783 alpha=90.00 beta=90.00 gamma=90.00
Fractional positions:
Sr 0.000 0.192 0.000
Sr 0.000 0.808 0.500
Zn 0.500 0.260 0.508
Zn 0.500 0.740 0.008
N 0.000 0.376 0.523
N 0.000 0.624 0.023
O 0.500 0.012 0.254
O 0.500 0.988 0.754



w comes first in stability; the runner-up is 13.9 kJ/mol of atoms higher.



--- w ---
An optimized crystal structure of SrZnNO, computed with PBE.

## Properties
**Symmetry**: No. 29
**Volume**: 246.23 Å³ per cell

Unit cell a=5.557 b=8.259 c=5.365 alpha=90.00 beta=90.00 gamma=90.00
Fractional positions:
Sr 0.013 0.161 0.000
Sr 0.487 0.161 0.500
Sr 0.513 0.839 0.000
Sr 0.987 0.839 0.500
Zn 0.054 0.612 0.985
Zn 0.446 0.612 0.485
Zn 0.554 0.388 0.985
Zn 0.946 0.388 0.485
N 0.004 0.154 0.507
N 0.496 0.154 0.007
N 0.504 0.846 0.507
N 0.996 0.846 0.007
O 0.118 0.568 0.626
O 0.382 0.568 0.126
O 0.618 0.432 0.626
O 0.882 0.432 0.126



--- x ---
An optimized crystal structure of SrZnNO, computed with PBE.

## Properties
**Symmetry**: No. 129
**Volume**: 114.98 Å³ per cell

Unit cell a=4.850 b=4.850 c=4.888 alpha=90.00 beta=90.00 gamma=90.00
Fractional positions:
Sr 0.250 0.750 0.000
Sr 0.750 0.250 0.000
Zn 0.250 0.250 0.464
Zn 0.750 0.750 0.536
N 0.250 0.250 0.048
N 0.750 0.750 0.952
O 0.250 0.750 0.500
O 0.750 0.250 0.500



w comes first in stability; the runner-up is 28.5 kJ/mol of atoms higher.